1.
{"formula": "ReGeP3", "functional": "PBE", "state": "optimized geometry", "lattice": [[-4.286, 0.783, 1.644], [0.536, -3.476, 3.052], [1.741, 2.998, 3.109]], "species": ["Re", "Ge", "P", "P", "P"], "fractional_positions": [[0.000, 0.000, 0.000], [0.500, 0.500, 0.500], [0.000, 0.500, 0.000], [0.000, 0.000, 0.500], [0.500, 0.000, 0.000]], "final_energy_ev_per_atom": -5.93, "vol_a3_per_atom": 20.20, "de_polymorph_kj_per_mol_atoms": 0.0, "crystal_system": "cubic", "formation_enthalpy_0k_mev_per_atom": 727}

***

2.
{"formula": "CeTh2S5", "functional": "PBE", "state": "optimized geometry", "lattice": [[-3.193, -2.898, -6.161], [5.863, -5.496, -0.453], [-6.582, -7.597, 6.984]], "species": ["Ce", "Ce", "Ce", "Ce", "Th", "Th", "Th", "Th", "Th", "Th", "Th", "Th", "S", "S", "S", "S", "S", "S", "S", "S", "S", "S", "S", "S", "S", "S", "S", "S", "S", "S", "S", "S"], "fractional_positions": [[0.425, 0.250, 0.505], [0.575, 0.750, 0.495], [0.925, 0.750, 0.995], [0.075, 0.250, 0.005], [0.487, 0.500, 0.820], [0.513, 0.500, 0.180], [0.987, 0.500, 0.680], [0.513, 0.000, 0.180], [0.013, 0.500, 0.320], [0.487, 0.000, 0.820], [0.013, 0.000, 0.320], [0.987, 0.000, 0.680], [0.034, 0.250, 0.501], [0.966, 0.750, 0.499], [0.534, 0.750, 0.999], [0.466, 0.250, 0.001], [0.341, 0.959, 0.608], [0.659, 0.041, 0.392], [0.841, 0.041, 0.892], [0.659, 0.459, 0.392], [0.159, 0.959, 0.108], [0.341, 0.541, 0.608], [0.159, 0.541, 0.108], [0.841, 0.459, 0.892], [0.206, 0.250, 0.785], [0.794, 0.750, 0.215], [0.706, 0.750, 0.715], [0.294, 0.250, 0.285], [0.678, 0.250, 0.687], [0.322, 0.750, 0.313], [0.178, 0.750, 0.813], [0.822, 0.250, 0.187]], "final_energy_ev_per_atom": -7.14, "vol_a3_per_atom": 23.15, "crystal_system": "orthorhombic"}

***

3.
{"formula": "La4Ag", "functional": "PBE", "state": "optimized geometry", "lattice": [[8.811, 0.287, 0.000], [3.686, 5.125, 0.000], [4.405, 0.143, 7.699]], "species": ["La", "La", "La", "La", "La", "La", "La", "La", "Ag", "Ag"], "fractional_positions": [[0.582, 0.104, 0.585], [0.833, 0.396, 0.585], [0.203, 0.133, 0.115], [0.682, 0.367, 0.115], [0.797, 0.867, 0.885], [0.318, 0.633, 0.885], [0.167, 0.604, 0.415], [0.418, 0.896, 0.415], [0.109, 0.250, 0.781], [0.891, 0.750, 0.219]], "final_energy_ev_per_atom": -4.54, "vol_a3_per_atom": 33.95, "de_polymorph_kj_per_mol_atoms": 6.3, "crystal_system": "monoclinic", "formation_enthalpy_0k_mev_per_atom": -32}

***

4.
{"formula": "Rb2TlH6Rh", "functional": "PBE", "state": "optimized geometry", "lattice": [[-4.917, 1.987, 3.977], [-2.679, -5.315, -0.657], [3.931, 0.844, 4.438]], "species": ["Rb", "Rb", "Tl", "H", "H", "H", "H", "H", "H", "Rh"], "fractional_positions": [[0.148, 0.333, 0.667], [0.852, 0.667, 0.333], [0.500, 0.000, 0.000], [0.850, 0.132, 0.263], [0.850, 0.132, 0.868], [0.850, 0.737, 0.868], [0.150, 0.868, 0.132], [0.150, 0.263, 0.132], [0.150, 0.868, 0.737], [0.000, 0.000, 0.000]], "final_energy_ev_per_atom": -3.33, "vol_a3_per_atom": 20.59, "crystal_system": "trigonal"}

***

5.
{"formula": "Ti3Si3Ni", "functional": "PBE", "state": "optimized geometry", "lattice": [[3.647, 0.000, 0.549], [1.795, 4.709, 0.467], [0.100, 0.110, 11.717]], "species": ["Ti", "Ti", "Ti", "Ti", "Ti", "Ti", "Si", "Si", "Si", "Si", "Si", "Si", "Ni", "Ni"], "fractional_positions": [[0.516, 0.344, 0.624], [0.484, 0.656, 0.376], [0.257, 0.260, 0.226], [0.743, 0.740, 0.774], [0.395, 0.289, 0.920], [0.605, 0.711, 0.080], [0.868, 0.719, 0.546], [0.132, 0.281, 0.454], [0.120, 0.836, 0.925], [0.880, 0.164, 0.075], [0.975, 0.817, 0.233], [0.025, 0.183, 0.767], [0.766, 0.071, 0.396], [0.234, 0.929, 0.604]], "final_energy_ev_per_atom": -7.31, "vol_a3_per_atom": 14.35, "crystal_system": "monoclinic"}

***

6.
{"formula": "VHg2I6", "functional": "PBE", "state": "optimized geometry", "lattice": [[1.394, -3.636, 6.548], [5.628, -5.121, 0.391], [7.024, 2.379, 4.257]], "species": ["V", "Hg", "Hg", "I", "I", "I", "I", "I", "I"], "fractional_positions": [[0.333, 0.333, 0.000], [0.740, 0.740, 0.781], [0.590, 0.590, 0.229], [0.715, 0.394, 0.765], [0.126, 0.715, 0.765], [0.394, 0.126, 0.765], [0.235, 0.562, 0.233], [0.970, 0.235, 0.233], [0.562, 0.970, 0.233]], "final_energy_ev_per_atom": -2.41, "vol_a3_per_atom": 40.96, "crystal_system": "trigonal"}

***

7.
{"formula": "Rb3Bi2Pb4", "functional": "PBE", "state": "optimized geometry", "lattice": [[5.033, 0.000, 1.139], [2.164, 6.749, 2.128], [0.056, -0.015, 11.449]], "species": ["Rb", "Rb", "Rb", "Bi", "Bi", "Pb", "Pb", "Pb", "Pb"], "fractional_positions": [[0.382, 0.547, 0.689], [0.000, 0.000, 0.000], [0.618, 0.453, 0.311], [0.338, 0.020, 0.303], [0.662, 0.980, 0.697], [0.267, 0.406, 0.060], [0.733, 0.594, 0.940], [0.132, 0.185, 0.550], [0.868, 0.815, 0.450]], "final_energy_ev_per_atom": -3.01, "vol_a3_per_atom": 43.18, "de_polymorph_kj_per_mol_atoms": 0.0, "crystal_system": "monoclinic", "formation_enthalpy_0k_mev_per_atom": -178}

***

8.
{"formula": "KYSb2", "functional": "PBE", "state": "optimized geometry", "lattice": [[-1.134, -2.066, 6.010], [3.930, -4.386, 2.645], [0.476, 5.613, -3.154]], "species": ["K", "Sb", "Sb", "Y"], "fractional_positions": [[0.750, 0.250, 0.500], [0.000, 0.000, 0.000], [0.250, 0.750, 0.500], [0.500, 0.500, 0.000]], "final_energy_ev_per_atom": -4.34, "vol_a3_per_atom": 29.52, "de_polymorph_kj_per_mol_atoms": 26.1, "crystal_system": "tetragonal"}

***

9.
{"formula": "Dy3ZrZn4", "functional": "PBE", "state": "optimized geometry", "lattice": [[-0.760, 2.941, -1.763], [-3.122, -1.341, -0.891], [-5.658, 5.479, 11.579]], "species": ["Zn", "Zn", "Zn", "Zn", "Zr", "Dy", "Dy", "Dy"], "fractional_positions": [[0.000, 0.000, 0.891], [0.000, 0.000, 0.109], [0.000, 0.000, 0.371], [0.000, 0.000, 0.629], [0.500, 0.500, 0.000], [0.500, 0.500, 0.241], [0.500, 0.500, 0.500], [0.500, 0.500, 0.759]], "final_energy_ev_per_atom": -3.73, "vol_a3_per_atom": 21.60, "crystal_system": "tetragonal", "formation_enthalpy_0k_mev_per_atom": -303}

***

10.
{"formula": "Ca2Ce2Pb7", "functional": "PBE", "state": "optimized geometry", "lattice": [[7.249, -0.003, -0.378], [0.003, 7.491, 0.003], [-0.829, -0.003, 7.211]], "species": ["Ca", "Ca", "Ce", "Ce", "Pb", "Pb", "Pb", "Pb", "Pb", "Pb", "Pb"], "fractional_positions": [[0.813, 0.500, 0.813], [0.187, 0.500, 0.187], [0.711, 0.000, 0.289], [0.289, 0.000, 0.711], [0.000, 0.288, 0.500], [0.500, 0.712, 0.000], [0.000, 0.712, 0.500], [0.500, 0.288, 0.000], [0.000, 0.000, 0.000], [0.500, 0.702, 0.500], [0.500, 0.298, 0.500]], "final_energy_ev_per_atom": -3.84, "vol_a3_per_atom": 35.38, "crystal_system": "orthorhombic", "formation_enthalpy_0k_mev_per_atom": -41}

***

11.
{"formula": "SrAlSb2", "functional": "PBE", "state": "optimized geometry", "lattice": [[-3.055, 1.955, 4.469], [-1.547, -1.770, 5.253], [3.665, 2.223, 3.514]], "species": ["Sb", "Sb", "Al", "Sr"], "fractional_positions": [[0.988, 0.988, 0.005], [0.738, 0.738, 0.831], [0.268, 0.268, 0.174], [0.507, 0.507, 0.490]], "final_energy_ev_per_atom": -3.74, "vol_a3_per_atom": 29.15, "crystal_system": "monoclinic"}

***

12.
{"formula": "HoAgGe", "functional": "PBE", "state": "optimized geometry", "lattice": [[3.435, 0.000, 0.000], [0.000, 3.435, 0.000], [-1.717, -1.717, 5.403]], "species": ["Ge", "Ho", "Ag"], "fractional_positions": [[0.295, 0.295, 0.589], [0.618, 0.618, 0.236], [0.937, 0.937, 0.875]], "final_energy_ev_per_atom": -4.27, "vol_a3_per_atom": 21.25, "crystal_system": "tetragonal", "formation_enthalpy_0k_mev_per_atom": -250}

***

13.
{"formula": "Dy3ScTl4S8", "functional": "PBE", "state": "optimized geometry", "lattice": [[-1.516, 7.589, -1.836], [-7.411, -0.333, 4.743], [6.751, -1.914, 3.745]], "species": ["Dy", "Dy", "Dy", "Sc", "Tl", "Tl", "Tl", "Tl", "S", "S", "S", "S", "S", "S", "S", "S"], "fractional_positions": [[0.500, 0.500, 0.000], [0.500, 0.500, 0.500], [0.000, 0.500, 0.500], [0.000, 0.500, 0.000], [0.500, 0.000, 0.000], [0.500, 0.000, 0.500], [0.000, 0.000, 0.000], [0.000, 0.000, 0.500], [0.226, 0.694, 0.969], [0.226, 0.694, 0.451], [0.267, 0.301, 0.534], [0.743, 0.694, 0.969], [0.257, 0.306, 0.031], [0.733, 0.699, 0.466], [0.774, 0.306, 0.549], [0.774, 0.306, 0.031]], "final_energy_ev_per_atom": -5.37, "vol_a3_per_atom": 25.72, "crystal_system": "trigonal"}

***

14.
{"formula": "ScNb3Cd", "functional": "PBE", "state": "optimized geometry", "lattice": [[4.789, 0.000, 0.000], [0.000, 4.789, 0.000], [0.000, 0.000, 4.789]], "species": ["Sc", "Nb", "Nb", "Nb", "Cd"], "fractional_positions": [[0.000, 0.000, 0.000], [0.000, 0.500, 0.000], [0.000, 0.000, 0.500], [0.500, 0.000, 0.000], [0.500, 0.500, 0.500]], "final_energy_ev_per_atom": -6.02, "vol_a3_per_atom": 21.96, "de_polymorph_kj_per_mol_atoms": 0.0, "crystal_system": "cubic", "formation_enthalpy_0k_mev_per_atom": 1472}

***

15.
{"formula": "Sc3MnNi", "functional": "PBE", "state": "optimized geometry", "lattice": [[4.716, 0.000, 0.000], [0.000, 4.716, 0.000], [0.000, 0.000, 4.716]], "species": ["Sc", "Sc", "Sc", "Ni", "Mn"], "fractional_positions": [[0.000, 0.500, 0.000], [0.000, 0.000, 0.500], [0.500, 0.000, 0.000], [0.500, 0.500, 0.500], [0.000, 0.000, 0.000]], "final_energy_ev_per_atom": -6.39, "vol_a3_per_atom": 20.97, "de_polymorph_kj_per_mol_atoms": 18.8, "crystal_system": "cubic", "formation_enthalpy_0k_mev_per_atom": 404}

***

16.
{"formula": "Cs2TlGeCl6", "functional": "PBE", "state": "optimized geometry", "lattice": [[-1.430, -4.297, 3.050], [3.521, 1.572, 3.865], [-7.896, 6.001, 4.754]], "species": ["Cs", "Cs", "Tl", "Ge", "Cl", "Cl", "Cl", "Cl", "Cl", "Cl"], "fractional_positions": [[0.000, 0.000, 0.740], [0.000, 0.000, 0.260], [0.500, 0.500, 0.000], [0.500, 0.500, 0.500], [0.500, 0.000, 0.000], [0.500, 0.000, 0.500], [0.000, 0.500, 0.000], [0.000, 0.500, 0.500], [0.500, 0.500, 0.736], [0.500, 0.500, 0.264]], "final_energy_ev_per_atom": -3.29, "vol_a3_per_atom": 32.78, "de_polymorph_kj_per_mol_atoms": 2.5, "crystal_system": "tetragonal"}

***

17.
{"formula": "KBi2Cl7", "functional": "PBE", "state": "optimized geometry", "lattice": [[-3.577, -0.402, -4.050], [2.185, -7.802, -1.155], [-6.129, 1.163, 5.298]], "species": ["K", "Bi", "Bi", "Cl", "Cl", "Cl", "Cl", "Cl", "Cl", "Cl"], "fractional_positions": [[0.000, 0.000, 0.000], [0.500, 0.702, 0.298], [0.500, 0.298, 0.702], [0.000, 0.722, 0.278], [0.000, 0.278, 0.722], [0.500, 0.051, 0.323], [0.500, 0.949, 0.677], [0.500, 0.323, 0.051], [0.500, 0.677, 0.949], [0.500, 0.500, 0.500]], "final_energy_ev_per_atom": -3.33, "vol_a3_per_atom": 32.83, "crystal_system": "orthorhombic"}

***

18.
{"formula": "Y2NF", "functional": "PBE", "state": "optimized geometry", "lattice": [[0.000, 3.038, 3.038], [3.038, 0.000, 3.038], [3.038, 3.038, 0.000]], "species": ["Y", "Y", "N", "F"], "fractional_positions": [[0.250, 0.250, 0.250], [0.750, 0.750, 0.750], [0.000, 0.000, 0.000], [0.500, 0.500, 0.500]], "final_energy_ev_per_atom": -7.16, "vol_a3_per_atom": 14.01, "crystal_system": "cubic"}

***

19.
{"formula": "Ce3TmH8", "functional": "PBE", "state": "optimized geometry", "lattice": [[5.349, 0.000, 0.000], [0.000, 5.349, 0.000], [0.000, 0.000, 5.349]], "species": ["Ce", "Ce", "Ce", "Tm", "H", "H", "H", "H", "H", "H", "H", "H"], "fractional_positions": [[0.500, 0.500, 0.000], [0.500, 0.000, 0.500], [0.000, 0.500, 0.500], [0.000, 0.000, 0.000], [0.239, 0.239, 0.761], [0.239, 0.761, 0.239], [0.761, 0.239, 0.239], [0.761, 0.761, 0.761], [0.761, 0.761, 0.239], [0.761, 0.239, 0.761], [0.239, 0.761, 0.761], [0.239, 0.239, 0.239]], "final_energy_ev_per_atom": -4.67, "vol_a3_per_atom": 12.75, "crystal_system": "cubic"}

***

20.
{"formula": "ZrTa2H", "functional": "PBE", "state": "optimized geometry", "lattice": [[5.767, 0.000, 0.000], [0.000, 5.767, 0.000], [2.884, 2.884, 4.067]], "species": ["H", "H", "Zr", "Zr", "Ta", "Ta", "Ta", "Ta"], "fractional_positions": [[0.500, 0.500, 0.000], [0.250, 0.750, 0.500], [0.000, 0.000, 0.000], [0.750, 0.250, 0.500], [0.375, 0.125, 0.250], [0.375, 0.625, 0.250], [0.375, 0.625, 0.750], [0.875, 0.625, 0.750]], "final_energy_ev_per_atom": -8.80, "vol_a3_per_atom": 16.91, "de_polymorph_kj_per_mol_atoms": 0.0, "crystal_system": "tetragonal"}

***

21.
{"formula": "TaReAs2", "functional": "PBE", "state": "optimized geometry", "lattice": [[3.079, 0.000, 0.000], [0.000, 3.079, 0.000], [0.000, 0.000, 7.841]], "species": ["Re", "As", "As", "Ta"], "fractional_positions": [[0.000, 0.000, 0.502], [0.000, 0.000, 0.955], [0.500, 0.500, 0.320], [0.500, 0.500, 0.723]], "final_energy_ev_per_atom": -8.43, "vol_a3_per_atom": 18.59, "de_polymorph_kj_per_mol_atoms": 6.2, "crystal_system": "tetragonal", "formation_enthalpy_0k_mev_per_atom": -28}

***

22.
{"formula": "HoPd5Au2", "functional": "PBE", "state": "optimized geometry", "lattice": [[3.849, 0.000, -1.443], [-0.541, 3.811, -1.443], [0.974, 1.123, 8.453]], "species": ["Ho", "Pd", "Pd", "Pd", "Pd", "Pd", "Au", "Au"], "fractional_positions": [[0.000, 0.000, 0.000], [0.500, 0.500, 0.000], [0.626, 0.126, 0.252], [0.126, 0.626, 0.252], [0.374, 0.874, 0.748], [0.874, 0.374, 0.748], [0.251, 0.251, 0.503], [0.749, 0.749, 0.497]], "final_energy_ev_per_atom": -5.12, "vol_a3_per_atom": 17.06, "de_polymorph_kj_per_mol_atoms": 0.5, "crystal_system": "tetragonal", "formation_enthalpy_0k_mev_per_atom": -485}

***

23.
{"formula": "Mn2HgSb", "functional": "PBE", "state": "optimized geometry", "lattice": [[-3.103, 1.254, 4.495], [-2.297, -1.715, 4.816], [3.202, 1.226, 3.310]], "species": ["Hg", "Mn", "Mn", "Sb"], "fractional_positions": [[0.734, 0.734, 0.812], [0.973, 0.973, 0.966], [0.270, 0.270, 0.290], [0.523, 0.523, 0.432]], "final_energy_ev_per_atom": -5.38, "vol_a3_per_atom": 19.21, "de_polymorph_kj_per_mol_atoms": 6.6, "crystal_system": "monoclinic"}